Material: PmSmOsO6
Method: DFT, PBE-GGA
State: optimized geometry

Properties
Fermi-level density of states   9.06 states/eV/cell
Calculated total energy   -7.906 eV/atom
Density   7286 kg/m3
ΔE_f (raw)   -2.30 eV per atom

Geometry as extended XYZ:
```
18
Lattice="5.616 0.000 0.000 -2.808 4.863 0.000 0.000 0.000 9.707" Properties=species:S:1:pos:R:3 pbc="T T T"
Sm 0.000 3.242 2.427
O 1.607 3.281 6.177
O -1.607 3.281 8.384
O 3.645 0.249 3.530
O -0.770 1.831 6.177
Os 0.000 3.242 7.280
O 0.837 4.615 8.384
O 3.578 3.033 3.530
Sm 2.808 1.621 7.280
O 4.415 1.582 1.324
O 2.038 3.033 1.324
O 0.770 1.831 8.384
Pm 0.000 0.000 0.000
O 1.970 0.249 1.324
Pm 0.000 0.000 4.854
Os 2.808 1.621 2.427
O 1.200 1.582 3.530
O -0.837 4.615 6.177
```